1.
Below is a relaxed structure of Re3RhI, with properties calculated at the PBEsol level.

Output
Total moment, μB per formula unit: 0.00
ΔE_f (raw), eV/atom: 3.135

```
5
Lattice="4.690 0.000 0.000 0.000 4.690 0.000 0.000 0.000 4.690" Properties=species:S:1:pos:R:3 pbc="T T T"
I 0.000 0.000 0.000
Re 0.000 2.345 0.000
Re 2.345 0.000 0.000
Re 0.000 0.000 2.345
Rh 2.345 2.345 2.345
```

---

2.
Below is a relaxed structure of ReGeI2O, with properties calculated at the PBEsol level.

Output
Total moment, μB per formula unit: 4.16
ΔE_f (raw), eV/atom: 0.904

```
5
Lattice="3.631 0.000 0.000 0.000 5.669 0.000 0.000 0.000 5.669" Properties=species:S:1:pos:R:3 pbc="T T T"
I 0.000 0.000 2.834
I 0.000 2.834 0.000
Re 1.815 2.834 2.834
Ge 0.000 0.000 0.000
O 1.815 0.000 0.000
```

---

3.
Below is a relaxed structure of Al7Cu2Rh, with properties calculated at the PBEsol level.

Output
Calculated formation energy, eV/atom: -0.38
Total moment, μB per formula unit: 0.00

```
40
Lattice="6.370 0.000 0.000 0.000 6.370 0.000 0.000 0.000 14.742" Properties=species:S:1:pos:R:3 pbc="T T T"
Al 0.952 4.136 3.686
Al 5.418 2.233 11.057
Al 5.418 2.233 3.686
Al 2.233 0.952 3.686
Al 0.952 4.136 11.057
Al 4.136 5.418 11.057
Al 4.136 5.418 3.686
Al 2.233 0.952 11.057
Al 0.000 0.000 1.877
Al 0.000 0.000 12.865
Al 3.185 3.185 5.494
Al 3.185 3.185 9.248
Al 1.269 2.639 1.425
Al 5.100 3.730 13.317
Al 5.100 3.730 1.425
Al 3.730 1.269 1.425
Al 1.915 5.824 5.946
Al 1.269 2.639 13.317
Al 2.639 5.100 13.317
Al 4.454 0.545 8.797
Al 2.639 5.100 1.425
Al 4.454 0.545 5.946
Al 3.730 1.269 13.317
Al 1.915 5.824 8.797
Al 5.824 4.454 5.946
Al 0.545 1.915 8.797
Al 0.545 1.915 5.946
Al 5.824 4.454 8.797
Cu 1.701 0.602 0.000
Cu 4.669 5.768 0.000
Cu 5.768 1.701 0.000
Cu 1.484 3.787 7.371
Cu 0.602 4.669 0.000
Cu 4.886 2.583 7.371
Cu 3.787 4.886 7.371
Cu 2.583 1.484 7.371
Rh 0.000 0.000 4.388
Rh 0.000 0.000 10.354
Rh 3.185 3.185 2.983
Rh 3.185 3.185 11.759
```

---

4.
Below is a relaxed structure of KTcO3, with properties calculated at the PBEsol level.

Output
Total moment, μB per formula unit: 0.00
ΔE_f (raw), eV/atom: -1.700

```
5
Lattice="-0.981 1.215 3.532 -3.465 -1.659 -0.391 1.394 -3.269 1.512" Properties=species:S:1:pos:R:3 pbc="T T T"
K 0.000 0.000 0.000
Tc -1.526 -1.856 2.326
O -2.223 -0.222 1.570
O 0.207 -1.027 2.522
O -1.036 -2.464 0.560
```

---

5.
Below is a relaxed structure of La2Bi2S4OF, with properties calculated at the PBEsol level.

Output
Total moment, μB per formula unit: 0.00
ΔE_f (raw), eV/atom: -1.872

```
10
Lattice="-2.756 0.039 -2.949 2.095 -2.815 -1.995 -6.740 -9.395 6.177" Properties=species:S:1:pos:R:3 pbc="T T T"
S -3.948 -3.563 0.881
S -3.122 -7.220 2.824
S -6.870 -7.637 3.559
S -0.200 -3.146 0.146
F 0.000 0.000 0.000
Bi -5.522 -5.757 2.323
Bi -1.549 -5.026 1.382
O -0.330 -1.388 -2.472
La -2.095 -0.980 -0.817
La -4.975 -9.803 4.522
```

---

6.
Below is a relaxed structure of Sc3TaTl, with properties calculated at the PBEsol level.

Output
Calculated formation energy, eV/atom: 1.18
Total moment, μB per formula unit: 3.72

```
5
Lattice="5.182 0.000 0.000 0.000 5.182 0.000 0.000 0.000 5.182" Properties=species:S:1:pos:R:3 pbc="T T T"
Sc 0.000 2.591 0.000
Sc 0.000 0.000 2.591
Sc 2.591 0.000 0.000
Tl 0.000 0.000 0.000
Ta 2.591 2.591 2.591
```

---

> What is the formula in the second record?

ReGeI2O

---

> Which of these has the highest total moment?

ReGeI2O

---

What did the sixth record say?
Below is a relaxed structure of Sc3TaTl, with properties calculated at the PBEsol level.

Output
Calculated formation energy, eV/atom: 1.18
Total moment, μB per formula unit: 3.72

```
5
Lattice="5.182 0.000 0.000 0.000 5.182 0.000 0.000 0.000 5.182" Properties=species:S:1:pos:R:3 pbc="T T T"
Sc 0.000 2.591 0.000
Sc 0.000 0.000 2.591
Sc 2.591 0.000 0.000
Tl 0.000 0.000 0.000
Ta 2.591 2.591 2.591
```

---

> total moment of number 1 (Re3RhI)?

0.00 μB per formula unit